DFT (PBE) results for a geometry-optimized HoScGeSe structure.

Uncorrected formation energy   -1.30 eV/atom

Lattice parameters (Å, degrees): 3.9977 3.9977 19.7946 90.00 90.00 120.00
Space group R3m (No. 160, hexagonal axes)
Unique sites:
Ho (0.0000, 0.0000, 0.0000) [3 per cell]
Sc (0.0000, 0.0000, 0.4916) [3 per cell]
Ge (0.0000, 0.0000, 0.7506) [3 per cell]
Se (0.0000, 0.0000, 0.2420) [3 per cell]



DFT (PBE) results for a geometry-optimized MnCuSn structure.

Energy   -5.592 eV/atom

Lattice parameters (Å, degrees): 5.209 3.948 5.221 90.00 105.92 90.00
Space group Pm (No. 6)
Unique sites:
Mn (0.000, 0.000, 0.000) [1 per cell]
Mn (0.271, 0.500, 0.196) [1 per cell]
Cu (0.488, 0.000, 0.964) [1 per cell]
Cu (0.774, 0.500, 0.198) [1 per cell]
Sn (0.160, 0.500, 0.663) [1 per cell]
Sn (0.609, 0.000, 0.499) [1 per cell]



DFT (PBE) results for a geometry-optimized PrHoErAg structure.

Energy above the most stable polymorph in this dataset   0.000 eV/atom

Lattice parameters (Å, degrees): 3.641 3.641 8.609 90.00 90.00 90.00
Space group P4mm (No. 99)
Unique sites:
Pr (0.000, 0.000, 0.000) [1 per cell]
Ho (0.500, 0.500, 0.705) [1 per cell]
Er (0.500, 0.500, 0.294) [1 per cell]
Ag (0.000, 0.000, 0.498) [1 per cell]



DFT (PBE) results for a geometry-optimized K3La2PuO6 structure.

Uncorrected formation energy   -2.55 eV/atom

Lattice parameters (Å, degrees): 6.379 11.050 6.638 90.00 108.70 90.00
Space group C2/m (No. 12)
Unique sites:
K (0.000, 0.000, 0.000) [2 per cell]
K (0.000, 0.335, 0.000) [4 per cell]
La (0.000, 0.167, 0.500) [4 per cell]
Pu (0.000, 0.500, 0.500) [2 per cell]
O (0.225, 0.338, 0.690) [8 per cell]
O (0.239, 0.000, 0.689) [4 per cell]



DFT (PBE) results for a geometry-optimized Te2MoH structure.

Energy above the most stable polymorph in this dataset   0.638 eV/atom

Lattice parameters (Å, degrees): 5.792 5.792 10.810 90.00 90.00 90.00
Space group I-42d (No. 122)
Unique sites:
Te (0.206, 0.250, 0.125) [8 per cell]
Mo (0.000, 0.000, 0.500) [4 per cell]
H (0.000, 0.000, 0.000) [4 per cell]



DFT (PBE) results for a geometry-optimized K2SrHgF8 structure.

Uncorrected formation energy   -2.29 eV/atom

Lattice parameters (Å, degrees): 4.222 8.032 6.209 90.00 95.73 90.00
Space group P2/m (No. 10)
Unique sites:
K (0.000, 0.245, 0.000) [2 per cell]
Sr (0.500, 0.500, 0.500) [1 per cell]
Hg (0.500, 0.000, 0.500) [1 per cell]
F (0.020, 0.500, 0.728) [2 per cell]
F (0.071, 0.000, 0.292) [2 per cell]
F (0.446, 0.221, 0.709) [4 per cell]



DFT (PBE) results for a geometry-optimized Ti2SnPd8 structure.

Energy above the most stable polymorph in this dataset   0.045 eV/atom

Lattice parameters (Å, degrees): 4.195 7.142 11.919 90.00 90.00 90.00
Space group Immm (No. 71)
Unique sites:
Ti (0.000, 0.000, 0.194) [4 per cell]
Sn (0.000, 0.000, 0.500) [2 per cell]
Pd (0.000, 0.190, 0.000) [4 per cell]
Pd (0.000, 0.282, 0.343) [8 per cell]
Pd (0.000, 0.500, 0.154) [4 per cell]



DFT (PBE) results for a geometry-optimized Dy5GeTe4 structure.

Uncorrected formation energy   -1.28 eV/atom

Lattice parameters (Å, degrees): 9.698 9.698 6.085 90.00 90.00 90.00
Space group I4/m (No. 87)
Unique sites:
Dy (0.000, 0.000, 0.000) [2 per cell]
Dy (0.097, 0.726, 0.500) [8 per cell]
Ge (0.000, 0.000, 0.500) [2 per cell]
Te (0.092, 0.694, 0.000) [8 per cell]



DFT (PBE) results for a geometry-optimized PmSmThAg structure.

Energy   -4.792 eV/atom

Lattice parameters (Å, degrees): 7.721 7.721 7.721 90.00 90.00 90.00
Space group F-43m (No. 216)
Unique sites:
Pm (0.000, 0.000, 0.000) [4 per cell]
Sm (0.250, 0.250, 0.250) [4 per cell]
Th (0.250, 0.250, 0.750) [4 per cell]
Ag (0.000, 0.000, 0.500) [4 per cell]



DFT (PBE) results for a geometry-optimized TmCrMo structure.

Energy   -7.956 eV/atom

Lattice parameters (Å, degrees): 5.457 8.197 9.730 90.00 90.00 90.00
Space group Fmmm (No. 69)
Unique sites:
Tm (0.000, 0.177, 0.000) [8 per cell]
Cr (0.250, 0.250, 0.250) [8 per cell]
Mo (0.000, 0.000, 0.326) [8 per cell]



DFT (PBE) results for a geometry-optimized Ca2CrSe structure.

Uncorrected formation energy   -0.41 eV/atom

Lattice parameters (Å, degrees): 4.0231 4.0231 25.3885 90.00 90.00 120.00
Space group R-3m (No. 166, hexagonal axes)
Unique sites:
Ca (0.0000, 0.0000, 0.2368) [6 per cell]
Cr (0.0000, 0.0000, 0.0000) [3 per cell]
Se (0.0000, 0.0000, 0.5000) [3 per cell]



DFT (PBE) results for a geometry-optimized AcPrBiSb structure.

Uncorrected formation energy   -0.82 eV/atom
Energy above the most stable polymorph in this dataset   0.000 eV/atom

Lattice parameters (Å, degrees): 8.114 8.114 8.114 90.00 90.00 90.00
Space group F-43m (No. 216)
Unique sites:
Ac (0.000, 0.000, 0.000) [4 per cell]
Pr (0.000, 0.000, 0.500) [4 per cell]
Bi (0.250, 0.250, 0.750) [4 per cell]
Sb (0.250, 0.250, 0.250) [4 per cell]